GGA-PBE VBIN2, relaxed; energy above the lowest structure with this stoichiometry = 0 meV/atom; raw formation energy = 1.1425 eV/atom; DOS at the Fermi energy = 0.62 states/eV/atom
1.0
3.7434 0.0000 0.0000
0.0000 3.7434 0.0000
0.0000 0.0000 5.6936
V B I N
1 1 1 2
Direct
0.0000 0.0000 0.0000 V
0.5000 0.5000 0.5000 B
0.0000 0.0000 0.5000 I
0.0000 0.5000 0.0000 N
0.5000 0.0000 0.0000 N

GGA-PBE La8GeRh2, relaxed; energy relative to the elements = -414 kJ/mol of formula units; DOS at the Fermi energy = 1.05 states/eV/atom
1.0
4.1997 -6.7352 0.0000
4.1997 6.7352 0.0000
-2.5933 0.0000 6.1477
La Ge Rh
8 1 2
Direct
0.0000 0.0000 0.0000 La
0.1619 0.5644 0.2035 La
0.2657 0.9962 0.5822 La
0.4519 0.7214 0.8174 La
0.5644 0.1619 0.2035 La
0.7065 0.7065 0.3852 La
0.7214 0.4519 0.8174 La
0.9962 0.2657 0.5822 La
0.3540 0.3540 0.9743 Ge
0.0495 0.6690 0.6912 Rh
0.6690 0.0495 0.6912 Rh

GGA-PBE AgTeAu, relaxed; raw formation energy = 0.1144 eV/atom; DOS at the Fermi energy = 0.63 states/eV/atom
1.0
4.2736 0.0000 0.0000
-2.1368 3.7010 0.0000
0.0000 0.0000 4.4492
Ag Te Au
1 1 1
Direct
0.0000 0.0000 0.0000 Ag
0.3333 0.6667 0.6387 Te
0.6667 0.3333 0.3233 Au

GGA-PBE Pu2MgRh, relaxed; energy relative to the elements = 73 kJ/mol of formula units; energy above the lowest structure with this stoichiometry = 347 meV/atom; DOS at the Fermi energy = 2.71 states/eV/atom
1.0
1.4854 0.8576 11.2684
-1.4854 0.8576 11.2684
0.0000 -1.7151 11.2684
Pu Mg Rh
2 1 1
Direct
0.0953 0.0953 0.0953 Pu
0.9047 0.9047 0.9047 Pu
0.0000 0.0000 0.0000 Mg
0.5000 0.5000 0.5000 Rh

GGA-PBE NdDyMgCd, relaxed; energy relative to the elements = -78 kJ/mol of formula units; DOS at the Fermi energy = 1.21 states/eV/atom
1.0
3.8062 0.0000 0.0000
0.0000 3.8062 0.0000
0.0000 0.0000 7.6589
Nd Dy Mg Cd
1 1 1 1
Direct
0.0000 0.0000 0.0000 Nd
0.0000 0.0000 0.4991 Dy
0.5000 0.5000 0.7397 Mg
0.5000 0.5000 0.2646 Cd

GGA-PBE Pm3TlNi, relaxed; energy relative to the elements = -66 kJ/mol of formula units; energy above the lowest structure with this stoichiometry = 126 meV/atom; DOS at the Fermi energy = 1.60 states/eV/atom
1.0
5.3334 0.0000 0.0000
0.0000 5.3334 0.0000
0.0000 0.0000 5.3334
Pm Tl Ni
3 1 1
Direct
0.0000 0.0000 0.5000 Pm
0.0000 0.5000 0.0000 Pm
0.5000 0.0000 0.0000 Pm
0.5000 0.5000 0.5000 Tl
0.0000 0.0000 0.0000 Ni

GGA-PBE BeCuRu2, relaxed; energy relative to the elements = 83 kJ/mol of formula units; DOS at the Fermi energy = 1.14 states/eV/atom
1.0
1.3880 -2.2014 0.0000
1.3880 2.2014 0.0000
0.0000 0.0000 8.2102
Be Cu Ru
1 1 2
Direct
0.0000 0.0000 0.0000 Be
0.0000 0.0000 0.5000 Cu
0.5000 0.5000 0.2289 Ru
0.5000 0.5000 0.7711 Ru